[1]
{
  "formula": "Be2BiAu2",
  "functional": "PBE",
  "state": "relaxed",
  "cell": [[-4.2542, -5.1328, -3.7177], [6.3182, -3.7865, -2.0021], [-0.1936, -1.6307, 2.4730]],
  "species": ["Au", "Au", "Au", "Au", "Be", "Be", "Be", "Be", "Bi", "Bi"],
  "fractional_positions": [[0.8589, 0.6411, 0.0000], [0.1411, 0.3589, 0.0000], [0.3589, 0.8589, 0.0000], [0.6411, 0.1411, 0.0000], [0.3742, 0.1258, 0.5000], [0.8742, 0.3742, 0.5000], [0.1258, 0.6258, 0.5000], [0.6258, 0.8742, 0.5000], [0.0000, 0.0000, 0.0000], [0.5000, 0.5000, 0.0000]],
  "magmom_total_mub_per_atom": 0.0000,
  "relative_energy_ev_per_atom": 0.266,
  "formation_enthalpy_0k_kj_per_mol_atoms": 18.8
}

---

[2]
{
  "formula": "Co2RuPb",
  "functional": "PBE",
  "state": "relaxed",
  "cell": [[4.7516, -0.0062, 0.0000], [1.5418, 4.4946, 0.0000], [-3.1467, -2.2442, 2.7641]],
  "species": ["Ru", "Co", "Co", "Pb"],
  "fractional_positions": [[0.7500, 0.2500, 0.5000], [0.0000, 0.0000, 0.0000], [0.2500, 0.7500, 0.5000], [0.5000, 0.5000, 0.0000]],
  "magmom_total_mub_per_atom": 0.8962,
  "formation_enthalpy_0k_kj_per_mol_atoms": 46.6
}

---

[3]
{
  "formula": "ThGaPd6",
  "functional": "PBE",
  "state": "relaxed",
  "cell": [[4.1440, 0.0000, 0.0000], [0.0000, 4.1440, 0.0000], [0.0000, 0.0000, 7.9036]],
  "species": ["Th", "Pd", "Pd", "Pd", "Pd", "Pd", "Pd", "Ga"],
  "fractional_positions": [[0.0000, 0.0000, 0.0000], [0.5000, 0.5000, 0.5000], [0.0000, 0.5000, 0.7329], [0.5000, 0.0000, 0.7329], [0.0000, 0.5000, 0.2671], [0.5000, 0.5000, 0.0000], [0.5000, 0.0000, 0.2671], [0.0000, 0.0000, 0.5000]],
  "magmom_total_mub_per_atom": 0.0000,
  "relative_energy_ev_per_atom": 0.000,
  "formation_enthalpy_0k_kj_per_mol_atoms": -69.8
}

---

[4]
{
  "formula": "Li2MnInS",
  "functional": "PBE",
  "state": "relaxed",
  "cell": [[4.5523, 0.0000, 0.0000], [0.0000, 4.5441, 0.0000], [0.0000, 0.0000, 4.5523]],
  "species": ["Li", "Li", "In", "S", "Mn"],
  "fractional_positions": [[0.5000, 0.0000, 0.0000], [0.0000, 0.0000, 0.5000], [0.5000, 0.5000, 0.5000], [0.0000, 0.0000, 0.0000], [0.0000, 0.5000, 0.0000]],
  "magmom_total_mub_per_atom": 0.6473,
  "e_form_raw_ev_per_atom": -0.356
}

---

E across the listed records, respectively: -3.382, -6.316, -5.924, -4.329 eV/atom.